Compound: LiAlNi2
Source: the Alexandria database
Functional: GGA-PBE
Structure: optimized geometry

POSCAR file:
```
LiAlNi2
1.0
-1.4950 1.9699 -0.7497
-2.9783 -2.1396 0.3172
-0.5165 1.4278 4.7814
Al Li Ni
1 1 2
Direct
0.0000 0.0000 0.4792
0.5000 0.5000 0.7720
0.0000 0.0000 0.9895
0.5000 0.5000 0.2593
```

The value obtained for the formation enthalpy at 0 K is -0.2267 eV/atom.